Record 1
Here is crystalline Al2TcPb at its relaxed geometry from the Open Quantum Materials Database. Energies are from PBE.

extended XYZ file:
```
4
Lattice="0.782 -4.600 -0.350 3.352 -1.593 -2.850 3.907 -1.852 1.789" Properties=species:S:1:pos:R:3 pbc="T T T"
Al 4.020 -4.023 -0.705
Al 6.031 -6.035 -1.058
Pb 2.010 -2.012 -0.353
Tc 0.000 0.000 0.000
```

Properties
Total DFT energy (no corrections) ... -4.869 eV per atom
Magnetization ... 0.354 μB per cell



Record 2
Here is crystalline TmAlTe3Pb at its relaxed geometry from the Open Quantum Materials Database. Energies are from PBE.

extended XYZ file:
```
12
Lattice="-6.609 3.798 1.318 3.728 -5.354 -4.156 -3.002 -7.758 7.302" Properties=species:S:1:pos:R:3 pbc="T T T"
Al 2.608 -6.967 -2.135
Al -8.491 -2.348 6.599
Pb -4.480 -0.691 1.619
Pb -1.403 -8.623 2.845
Te 2.120 -4.375 -3.061
Te -1.273 -3.530 -0.079
Te 0.875 -7.592 -0.033
Te -6.758 -1.723 4.497
Te -4.609 -5.784 4.543
Te -8.002 -4.939 7.525
Tm -1.441 -0.778 -1.419
Tm -2.941 -4.657 2.232
```

Properties
Total DFT energy (no corrections) ... -4.101 eV per atom
Magnetization ... 0.019 μB per cell



Record 3
Here is crystalline ZrAlTe3Pb at its relaxed geometry from the Open Quantum Materials Database. Energies are from PBE.

extended XYZ file:
```
12
Lattice="-7.178 2.846 -3.290 4.509 -3.635 6.075 1.719 9.272 4.272" Properties=species:S:1:pos:R:3 pbc="T T T"
Al -1.241 2.110 2.192
Al 0.290 6.373 4.866
Pb 2.065 0.276 4.841
Pb -3.016 8.207 2.217
Te -2.848 0.894 0.307
Te -5.674 4.568 -1.360
Te -2.140 4.716 2.068
Te 1.189 3.767 4.990
Te 4.723 3.915 8.418
Te 1.897 7.589 6.751
Zr 0.000 0.000 0.000
Zr 0.859 4.636 2.136
```

Properties
Total DFT energy (no corrections) ... -4.611 eV per atom
Magnetization ... 0.025 μB per cell



> Which value of magnetization does entry 2 give?

0.019 μB per cell



> Which value of total DFT energy (no corrections) does entry 2 give?

-4.101 eV per atom



> Which of these has the lowest magnetization?

TmAlTe3Pb



> The lowest total DFT energy (no corrections) belongs to which entry?

Al2TcPb